(1)
A plane-wave DFT calculation with PBE was carried out for a geometry-optimized GdAuNO structure.

The structure belongs to space group Pca2_1 (No. 29); the cell edges are 5.750, 7.752 and 5.600 Å and the angles 90.00°, 90.00° and 90.00°. The asymmetric unit holds Gd at (0.039, 0.135, 0.000), Au at (0.069, 0.470, 0.650), N at (0.144, 0.335, 0.317) and O at (0.248, 0.965, 0.243).

Its size of the total moment is 0.0 Bohr magnetons per cell. The total energy comes out at -0.2384 hartree per atom.

(2)
A plane-wave DFT calculation with PBE was carried out for a geometry-optimized PrIrNO structure.

The structure belongs to space group Pmc2_1 (No. 26); the cell edges are 4.388, 6.721 and 4.808 Å and the angles 90.00°, 90.00° and 90.00°. The asymmetric unit holds Pr at (0.000, 0.206, 0.000), Ir at (0.500, 0.417, 0.485), N at (0.500, 0.317, 0.855) and O at (0.000, 0.132, 0.479).

Its size of the total moment is 0.0 Bohr magnetons per cell. The total energy comes out at -0.2828 hartree per atom.

(3)
A plane-wave DFT calculation with PBE was carried out for a geometry-optimized SmAlGa structure.

The structure belongs to space group F-43m (No. 216); the cell edges are 6.868, 6.868 and 6.868 Å and the angles 90.00°, 90.00° and 90.00°. The asymmetric unit holds Sm at (0.000, 0.000, 0.000), Al at (0.250, 0.250, 0.750) and Ga at (0.250, 0.250, 0.250).

Its size of the total moment is 0.0 Bohr magnetons per cell. The total energy comes out at -0.1372 hartree per atom.

Copy entry 3 word for word.
A plane-wave DFT calculation with PBE was carried out for a geometry-optimized SmAlGa structure.

The structure belongs to space group F-43m (No. 216); the cell edges are 6.868, 6.868 and 6.868 Å and the angles 90.00°, 90.00° and 90.00°. The asymmetric unit holds Sm at (0.000, 0.000, 0.000), Al at (0.250, 0.250, 0.750) and Ga at (0.250, 0.250, 0.250).

Its size of the total moment is 0.0 Bohr magnetons per cell. The total energy comes out at -0.1372 hartree per atom.

What did the first record say?
A plane-wave DFT calculation with PBE was carried out for a geometry-optimized GdAuNO structure.

The structure belongs to space group Pca2_1 (No. 29); the cell edges are 5.750, 7.752 and 5.600 Å and the angles 90.00°, 90.00° and 90.00°. The asymmetric unit holds Gd at (0.039, 0.135, 0.000), Au at (0.069, 0.470, 0.650), N at (0.144, 0.335, 0.317) and O at (0.248, 0.965, 0.243).

Its size of the total moment is 0.0 Bohr magnetons per cell. The total energy comes out at -0.2384 hartree per atom.

Look up the size of the total moment of the third one.
0.0 Bohr magnetons per cell

Number 3 is which compound?
SmAlGa